a:
A relaxed structure of MgSi2Hg. Source: Alexandria, functional GGA-PBE.

Results
calculated volume: 21.27 Å³ per atom

Geometry as POSCAR:
```
MgSi2Hg
1.0
-3.495 -1.164 -0.716
-2.111 -1.493 2.720
-5.015 5.163 2.516
Mg Si Hg
1 2 1
Direct
0.241 0.241 0.221
0.775 0.775 0.818
0.042 0.042 0.953
0.442 0.442 0.508
```

=====

b:
A relaxed structure of MgSi2Hg. Source: Alexandria, functional GGA-PBE.

Results
calculated volume: 19.31 Å³ per atom

Geometry as POSCAR:
```
MgSi2Hg
1.0
3.840 0.004 0.009
-1.918 5.426 0.060
0.004 1.417 3.722
Si Hg Mg
2 1 1
Direct
0.000 0.000 0.000
0.500 0.000 0.500
0.000 0.500 0.500
0.500 0.500 0.000
```

=====

So which one wins? Going from most stable to least: a, b.